1.
The following is a PBE calculation of a geometry-optimized Cr2BrNCl structure, from Alexandria via LeMat-Bulk.

abc: 4.7951 6.4302 4.7951
angles: 90.00 90.00 90.00
Fractional positions:
Cr: 0.0000 0.0000 0.5000
Cr: 0.5000 0.0000 0.0000
N: 0.5000 0.5000 0.5000
Br: 0.0000 0.5000 0.0000
Cl: 0.0000 0.0000 0.0000

* uncorrected energy: -4.6441 eV per atom
* magnetic moment: 2.577 μB per atom
* raw formation energy: 1.574 eV per atom

***

2.
The following is a PBE calculation of a geometry-optimized CuTe2 structure, from Alexandria via LeMat-Bulk.

abc: 10.5302 10.5302 3.7924
angles: 90.00 90.00 159.21
Fractional positions:
Cu: 0.1131 0.8869 0.7500
Cu: 0.8869 0.1131 0.2500
Te: 0.4372 0.5628 0.7500
Te: 0.5628 0.4372 0.2500
Te: 0.6992 0.3008 0.7500
Te: 0.3008 0.6992 0.2500

* uncorrected energy: -3.2906 eV per atom
* magnetic moment: 0.000 μB per atom
* raw formation energy: 0.169 eV per atom

***

3.
The following is a PBE calculation of a geometry-optimized TeP2Ru2 structure, from Alexandria via LeMat-Bulk.

abc: 3.6940 3.6940 6.8461
angles: 74.35 74.35 90.00
Fractional positions:
Ru: 0.3597 0.3597 0.2807
Ru: 0.6403 0.6403 0.7193
Te: 0.0000 0.0000 0.0000
P: 0.7500 0.2500 0.5000
P: 0.2500 0.7500 0.5000

* uncorrected energy: -6.7142 eV per atom
* magnetic moment: 0.000 μB per atom
* raw formation energy: -0.212 eV per atom